Entry 1:
First-principles (GGA-PBE) data for a geometry-optimized TmGa2Fe structure, as listed in the Alexandria database.

Cell lengths 4.078, 4.078, 5.436 Å; angles 67.97, 67.97, 60.00 degrees
Sites, in units of the cell vectors:
Tm 0.500 0.500 0.500
Fe 0.000 0.000 0.000
Ga 0.713 0.713 0.861
Ga 0.287 0.287 0.139

- formation enthalpy at 0 K (meV/atom) = -315
- total magnetic moment (μB per formula unit) = 0.00



Entry 2:
First-principles (GGA-PBE) data for a geometry-optimized Tm3Ga3Fe structure, as listed in the Alexandria database.

Cell lengths 4.231, 5.696, 13.290 Å; angles 84.26, 80.84, 68.20 degrees
Sites, in units of the cell vectors:
Tm 0.528 0.328 0.616
Tm 0.472 0.672 0.384
Tm 0.257 0.252 0.234
Tm 0.743 0.748 0.766
Tm 0.395 0.288 0.922
Tm 0.605 0.712 0.078
Ga 0.857 0.745 0.542
Ga 0.143 0.255 0.458
Ga 0.112 0.852 0.924
Ga 0.888 0.148 0.076
Ga 0.963 0.837 0.237
Ga 0.037 0.163 0.763
Fe 0.757 0.089 0.396
Fe 0.243 0.911 0.604

- formation enthalpy at 0 K (meV/atom) = -496
- total magnetic moment (μB per formula unit) = 1.66



Entry 3:
First-principles (GGA-PBE) data for a geometry-optimized TmGa3Fe3 structure, as listed in the Alexandria database.

Cell lengths 6.475, 6.475, 6.475 Å; angles 90.00, 90.00, 90.00 degrees
Sites, in units of the cell vectors:
Tm 0.500 0.500 0.500
Tm 0.000 0.000 0.000
Fe 0.250 0.000 0.500
Fe 0.000 0.500 0.250
Fe 0.500 0.750 0.000
Fe 0.750 0.000 0.500
Fe 0.000 0.500 0.750
Fe 0.500 0.250 0.000
Ga 0.000 0.250 0.500
Ga 0.000 0.750 0.500
Ga 0.500 0.000 0.750
Ga 0.750 0.500 0.000
Ga 0.500 0.000 0.250
Ga 0.250 0.500 0.000

- formation enthalpy at 0 K (meV/atom) = 484
- energy relative to the lowest polymorph listed for this composition (meV per atom) = 614
- total magnetic moment (μB per formula unit) = 4.81



The lowest formation enthalpy at 0 K belongs to which entry?
Tm3Ga3Fe



formation enthalpy at 0 K of number 3 (TmGa3Fe3)?
484 meV/atom



Among the records above, which one has the lowest total magnetic moment?
TmGa2Fe



Look up the total magnetic moment of the first one.
0.00 μB per formula unit